An optimized crystal structure of PmSm2Th3Bi6, computed with PBE-GGA.

Calculated values
calculated total energy	-137.6	eV for the cell shown

Cell and atoms, written as CIF:
```
data_PmSm2Th3Bi6
_chemical_formula_sum 'Pm2 Sm4 Th6 Bi12'
_cell_length_a 19.974
_cell_length_b 4.586
_cell_length_c 9.145
_cell_angle_alpha 90.00
_cell_angle_beta 103.16
_cell_angle_gamma 90.00
_space_group_name_H-M_alt 'C 1 2/m 1'
_space_group_IT_number 12
loop_
_space_group_symop_operation_xyz
'x,y,z'
'-x,-y,-z'
'-x,y,-z'
'x,-y,z'
'x+1/2,y+1/2,z'
'-x+1/2,-y+1/2,-z'
'-x+1/2,y+1/2,-z'
'x+1/2,-y+1/2,z'
loop_
_atom_site_label
_atom_site_type_symbol
_atom_site_fract_x
_atom_site_fract_y
_atom_site_fract_z
Pm1 Pm 0.000 0.000 0.000
Sm1 Sm 0.167 0.500 0.333
Th1 Th 0.000 0.000 0.500
Th2 Th 0.166 0.500 0.833
Bi1 Bi 0.001 0.500 0.249
Bi2 Bi 0.167 0.000 0.085
Bi3 Bi 0.167 0.000 0.581
```